# CaCrAsSe2

A geometry-optimized CaCrAsSe2 structure (PBEsol, Alexandria via LeMat-Bulk).

The structure in POSCAR format:
```
CaCrAsSe2
1.0
4.957 0.000 0.000
0.000 4.957 0.000
0.000 0.000 4.533
Ca Cr As Se
1 1 1 2
Direct
0.000 0.000 0.000 Ca
0.500 0.500 0.500 Cr
0.500 0.500 0.000 As
0.000 0.500 0.500 Se
0.500 0.000 0.500 Se
```

Energy relative to the elements, uncorrected = -10.9 kcal/mol of atoms
Crystal system = tetragonal
N(E_F) = 3.96 states/eV/cell
Space-group type = P4/mmm